(1)
This record from the Alexandria database describes CdAsF6 after structural relaxation. The functional is PBE-GGA.

Unit cell a=5.071 b=5.071 c=5.231 alpha=96.39 beta=96.39 gamma=115.37
Atoms (fractional coordinates):
As 0.500 0.500 0.500
F 0.253 0.253 0.709
F 0.454 0.155 0.271
F 0.845 0.546 0.729
F 0.747 0.747 0.291
F 0.546 0.845 0.729
F 0.155 0.454 0.271
Cd 0.000 0.000 0.000

- Fermi-level density of states (states/eV per atom) = 0.39
- formation energy from raw total energies (eV/atom) = -2.00
- calculated total energy (eV per atom) = -4.10

(2)
This record from the Alexandria database describes Cd2AsF after structural relaxation. The functional is PBE-GGA.

Unit cell a=5.540 b=5.540 c=7.542 alpha=68.45 beta=68.45 gamma=90.00
Atoms (fractional coordinates):
Cd 0.605 0.125 0.250
Cd 0.145 0.625 0.250
Cd 0.375 0.395 0.750
Cd 0.875 0.855 0.750
As 0.000 0.000 0.000
As 0.750 0.250 0.500
F 0.500 0.500 0.000
F 0.250 0.750 0.500

- Fermi-level density of states (states/eV per atom) = 0.04
- E above lowest polymorph (eV/atom) = 0.057
- formation energy from raw total energies (eV/atom) = -0.78
- calculated total energy (eV per atom) = -2.86

- Number 1 is which compound?
  CdAsF6